A plane-wave DFT calculation with GGA-PBE was carried out for Pr2B4IrPt4 after structural relaxation.

DFT total energy = -75.14 eV per formula unit
Magnetic moment = 0.0 μB per cell

Lattice parameters (Å, degrees): 7.934 6.789 5.616 78.90 57.11 43.99
Element x y z (fractional)
B1 0.475 0.784 0.216
B2 0.216 0.525 0.475
B3 0.784 0.475 0.525
B4 0.525 0.216 0.784
Ir1 0.500 0.500 0.500
Pr1 0.859 0.859 0.141
Pr2 0.141 0.141 0.859
Pt1 0.500 0.500 0.000
Pt2 0.250 0.250 0.250
Pt3 0.000 0.000 0.500
Pt4 0.750 0.750 0.750